The following is a DFT calculation (PBE-GGA) of a relaxed LiCa2Pd crystal.

**Formation energy**: -0.356 eV/atom
**Theoretical density**: 3.05 g cm⁻³

Structure (POSCAR):
```
LiCa2Pd
1.0
3.6061 0.0000 0.0000
0.0000 3.6061 0.0000
0.0000 0.0000 8.1017
Li Ca Pd
1 2 1
direct
0.0000 0.0000 0.0000
0.5000 0.5000 0.2896
0.5000 0.5000 0.7104
0.0000 0.0000 0.5000
```